First-principles (PBE) data for a geometry-optimized Zn2CrGeN4 structure, as listed in Alexandria.

Cell: 4.4949 4.4949 5.6007 Å, 113.66 113.66 90.00°
Each line ends with the local moment (μB).
Fractional coordinates of all 8 atoms:
N 0.6365 0.6365 0.7759  -0.03
Cr 0.5001 0.5001 0.0001  1.89
N 0.1395 0.1395 0.7760  -0.03
Zn 0.2500 0.7500 0.5001  0.02
N 0.3636 0.8606 0.2242  -0.03
Zn 0.7500 0.2500 0.5001  0.02
N 0.8606 0.3636 0.2242  -0.03
Ge 0.0000 0.0000 0.0001  0.06

The value obtained for the density of states at the Fermi level is 1.29 states/eV per cell. As for the space-group type: No. 121. The formation energy (no corrections) is -0.99 eV/f.u. The value obtained for the total energy is -6.385 eV/atom.